Computed, not measured: a relaxed Ce6Cd crystal at the PBE level of DFT. Values from VASP.

Structure (Quantum ESPRESSO input):
```
&SYSTEM
  ibrav = 0, nat = 14, ntyp = 2
/
ATOMIC_SPECIES
Ce 140.12 Ce.upf
Cd 112.41 Cd.upf
ATOMIC_POSITIONS angstrom
Ce 0.0000 1.8989 3.7978
Ce 0.0000 3.7978 1.8989
Ce 0.0000 3.7978 5.6967
Ce 0.0000 5.6967 3.7978
Ce 1.8989 0.0000 3.7978
Ce 1.8989 3.7978 0.0000
Ce 3.7978 0.0000 1.8989
Ce 3.7978 0.0000 5.6967
Ce 3.7978 1.8989 0.0000
Ce 3.7978 5.6967 0.0000
Ce 5.6967 0.0000 3.7978
Ce 5.6967 3.7978 0.0000
Cd 0.0000 0.0000 0.0000
Cd 3.7978 3.7978 3.7978
CELL_PARAMETERS angstrom
7.5956 0.0000 0.0000
0.0000 7.5956 0.0000
0.0000 0.0000 7.5956
```

The value obtained for the total energy is -61.8 eV per cell. Its space group is Im-3m.



Computed, not measured: a relaxed Cr2HgSe crystal at the PBE level of DFT. Values from VASP.

Structure (Quantum ESPRESSO input):
```
&SYSTEM
  ibrav = 0, nat = 8, ntyp = 3
/
ATOMIC_SPECIES
Cr 52.00 Cr.upf
Hg 200.59 Hg.upf
Se 78.96 Se.upf
ATOMIC_POSITIONS angstrom
Cr 0.0000 0.0000 1.8519
Cr 0.0000 0.0000 6.4694
Cr 1.7421 2.7520 2.3088
Cr 1.7421 2.7520 6.0125
Hg 0.0000 2.7520 0.0000
Hg 1.7421 0.0000 4.1607
Se 0.0000 2.7520 4.1607
Se 1.7421 0.0000 0.0000
CELL_PARAMETERS angstrom
3.4842 0.0000 0.0000
0.0000 5.5040 0.0000
0.0000 0.0000 8.3213
```

For the uncorrected formation energy, the calculation gives 420 meV/atom. As for the distance to the lowest polymorph of the same formula: 0.206 eV per atom. Its space group is Immm.



Computed, not measured: a relaxed Re2SbMo crystal at the PBE level of DFT. Values from VASP.

Structure (Quantum ESPRESSO input):
```
&SYSTEM
  ibrav = 0, nat = 4, ntyp = 3
/
ATOMIC_SPECIES
Re 186.21 Re.upf
Sb 121.76 Sb.upf
Mo 95.94 Mo.upf
ATOMIC_POSITIONS angstrom
Re 0.0020 0.0000 1.2491
Re 2.9998 0.0000 4.1142
Sb 1.5009 2.0732 2.6817
Mo 1.5046 2.0732 0.0000
CELL_PARAMETERS angstrom
3.0091 0.0000 0.0000
0.0000 4.1464 0.0000
-0.0073 0.0000 5.3634
```

For the uncorrected formation energy, the calculation gives 449 meV/atom. Its space group is P2/m.



Computed, not measured: a relaxed Rb2BaPbI6 crystal at the PBE level of DFT. Values from VASP.

Structure (Quantum ESPRESSO input):
```
&SYSTEM
  ibrav = 0, nat = 10, ntyp = 4
/
ATOMIC_SPECIES
Rb 85.47 Rb.upf
Ba 137.33 Ba.upf
Pb 207.20 Pb.upf
I 126.90 I.upf
ATOMIC_POSITIONS angstrom
Rb 3.2806 3.2806 3.2806
Rb 9.8418 9.8418 9.8418
Ba 0.0000 0.0000 0.0000
Pb 6.5612 6.5612 6.5612
I 6.5612 6.5612 3.3693
I 6.5612 3.3693 6.5612
I 9.7531 6.5612 6.5612
I 3.3693 6.5612 6.5612
I 6.5612 9.7531 6.5612
I 6.5612 6.5612 9.7531
CELL_PARAMETERS angstrom
0.0000 6.5612 6.5612
6.5612 0.0000 6.5612
6.5612 6.5612 0.0000
```

For the uncorrected formation energy, the calculation gives -1243 meV/atom. As for the distance to the lowest polymorph of the same formula: 0.077 eV per atom. Its space group is Fm-3m.